Record 1
Below is a relaxed Al2AgAu crystal, with properties calculated at the PBE-GGA level.

Geometry as CIF:
```
data_Al2AgAu
_chemical_formula_sum 'Al2 Ag1 Au1'
_space_group_name_H-M_alt 'P 4 m m'
_space_group_IT_number 99
_cell_length_a 2.914
_cell_length_b 2.914
_cell_length_c 8.034
_cell_angle_alpha 90.00
_cell_angle_beta 90.00
_cell_angle_gamma 90.00
loop_
_space_group_symop_operation_xyz
'x,y,z'
'-y,x,z'
'-x,-y,z'
'y,-x,z'
'-x,y,z'
'y,x,z'
'x,-y,z'
'-y,-x,z'
loop_
_atom_site_label
_atom_site_fract_x
_atom_site_fract_y
_atom_site_fract_z
Al1 0.000 0.000 0.000
Al2 0.500 0.500 0.251
Ag1 0.500 0.500 0.759
Au1 0.000 0.000 0.477
```

Results
Volume, Å³/atom: 17.1
Total moment, Bohr magnetons per cell: 0.00
E_tot, eV per cell: -14.1

***

Record 2
Below is a relaxed Ac8NdSm3 crystal, with properties calculated at the PBE-GGA level.

Geometry as CIF:
```
data_Ac8NdSm3
_chemical_formula_sum 'Ac16 Nd2 Sm6'
_space_group_name_H-M_alt 'I m m m'
_space_group_IT_number 71
_space_group_name_Hall '-I 2 2'
_cell_length_a 7.338
_cell_length_b 11.618
_cell_length_c 12.657
_cell_angle_alpha 90.00
_cell_angle_beta 90.00
_cell_angle_gamma 90.00
loop_
_atom_site_label
_atom_site_fract_x
_atom_site_fract_y
_atom_site_fract_z
Ac1 0.000 0.161 0.250
Ac2 0.249 0.250 0.000
Nd1 0.000 0.000 0.500
Sm1 0.000 0.000 0.000
Sm2 0.000 0.500 0.249
```

Results
Volume, Å³/atom: 45.0
Total moment, Bohr magnetons per cell: 0.00
E_tot, eV per cell: -94.7

***

Record 3
Below is a relaxed HoGaCuNi crystal, with properties calculated at the PBE-GGA level.

Geometry as CIF:
```
data_HoGaCuNi
_chemical_formula_sum 'Ho4 Ga4 Cu4 Ni4'
_space_group_name_H-M_alt 'F -4 3 m'
_space_group_IT_number 216
_space_group_name_Hall 'F -4 2 3'
_cell_length_a 6.359
_cell_length_b 6.359
_cell_length_c 6.359
_cell_angle_alpha 90.00
_cell_angle_beta 90.00
_cell_angle_gamma 90.00
loop_
_atom_site_label
_atom_site_fract_x
_atom_site_fract_y
_atom_site_fract_z
Ho1 0.000 0.000 0.000
Ga1 0.000 0.000 0.500
Cu1 0.250 0.250 0.750
Ni1 0.250 0.250 0.250
```

Results
Volume, Å³/atom: 16.1
Total moment, Bohr magnetons per cell: 0.00
E_tot, eV per cell: -75.8

***

- Which formula does entry 3 have?
  HoGaCuNi